(1)
4
Lattice="3.011 0.000 0.000 0.000 3.011 0.000 0.000 0.000 7.326" Properties=species:S:1:pos:R:3 comment="Sc2BeSi | Alexandria | SCAN | single point on PBEsol structure" sg=P4mm dos_at_fermi_per_ev_atom=0.67 de_polymorph_ev_per_atom=0.447 dft_energy_ev_per_cell=-43.2 pbc="T T T"
Sc 0.000 0.000 0.000
Sc 1.505 1.505 2.541
Be 0.000 0.000 4.330
Si 1.505 1.505 5.418

=====

(2)
13
Lattice="-4.352 4.352 2.494 4.352 -4.352 2.494 4.352 4.352 -2.494" Properties=species:S:1:pos:R:3 comment="PrAl8Fe4 | Alexandria | SCAN | single point on PBEsol structure" sg=I4/mmm dos_at_fermi_per_ev_atom=0.50 dft_energy_ev_per_cell=-183.4 formation_enthalpy_0k_kj_per_mol_atoms=-41.26 pbc="T T T"
Pr 0.000 0.000 0.000
Al 2.977 0.000 0.000
Al 5.727 0.000 0.000
Al 4.352 2.403 0.000
Al 0.000 2.977 0.000
Al 2.403 4.352 0.000
Al 1.948 0.000 2.494
Al 0.000 5.727 0.000
Al 0.000 1.948 2.494
Fe 2.176 2.176 -1.247
Fe 2.176 -2.176 1.247
Fe -2.176 2.176 1.247
Fe 2.176 2.176 1.247

=====

(3)
6
Lattice="3.960 0.000 0.000 -1.980 3.429 0.000 0.000 0.000 9.717" Properties=species:S:1:pos:R:3 comment="CaSm2S3 | Alexandria | SCAN | single point on PBEsol structure" sg=P-3m1 dos_at_fermi_per_ev_atom=0.28 dft_energy_ev_per_cell=-141.4 pbc="T T T"
Ca 0.000 0.000 0.000
Sm 0.000 2.286 6.394
Sm 1.980 1.143 3.323
S 0.000 0.000 4.858
S 0.000 2.286 1.614
S 1.980 1.143 8.102

=====

(4)
4
Lattice="4.816 0.000 0.000 0.000 2.697 0.000 -1.595 0.000 4.593" Properties=species:S:1:pos:R:3 comment="FeOsAu2 | Alexandria | SCAN | single point on PBEsol structure" sg=P2/m dos_at_fermi_per_ev_atom=0.58 de_polymorph_ev_per_atom=0.000 dft_energy_ev_per_cell=-226.8 formation_enthalpy_0k_kj_per_mol_atoms=37.62 pbc="T T T"
Fe 0.000 0.000 0.000
Os 2.408 1.349 0.000
Au -0.797 1.349 2.297
Au 1.611 0.000 2.297

=====

(5)
48
Lattice="6.204 -5.030 0.000 6.204 5.030 0.000 -2.109 0.000 7.658" Properties=species:S:1:pos:R:3 comment="Lu2Si9B36C | Alexandria | SCAN | single point on PBEsol structure" sg=Cm dft_energy_ev_per_cell=-489.6 pbc="T T T"
Lu 6.204 2.520 0.000
Lu 6.204 -2.520 0.000
Si -1.625 0.000 6.418
Si 2.092 1.964 1.877
Si 2.002 1.948 5.787
Si 2.023 0.000 0.567
Si 1.990 0.000 7.116
Si 2.092 -1.964 1.877
Si 2.002 -1.948 5.787
Si 5.696 0.000 1.207
Si 8.891 0.000 3.503
B 3.937 3.566 3.784
B 5.659 4.158 3.680
B 4.902 3.233 2.312
B 3.755 2.008 3.014
B 4.950 3.449 5.186
B 3.763 2.153 4.799
B 6.550 2.806 2.888
B 5.378 1.524 2.506
B 6.559 2.948 4.653
B 4.629 0.843 4.005
B 5.382 1.760 5.368
B 6.386 1.301 3.959
B 4.629 -0.843 4.005
B 6.082 0.907 6.675
B 8.681 1.460 0.618
B 3.755 -2.008 3.014
B 3.763 -2.153 4.799
B 7.621 0.000 0.421
B 7.794 1.445 6.969
B 5.378 -1.524 2.506
B 5.382 -1.760 5.368
B 6.082 -0.907 6.675
B 6.386 -1.301 3.959
B 7.452 0.000 5.930
B 8.942 0.000 1.564
B 3.937 -3.566 3.784
B 10.379 0.910 0.956
B 4.902 -3.233 2.312
B 4.950 -3.449 5.186
B 8.681 -1.460 0.618
B 6.550 -2.806 2.888
B 8.839 0.000 7.160
B 6.559 -2.948 4.653
B 7.794 -1.445 6.969
B 10.379 -0.910 0.956
B 5.659 -4.158 3.680
C 7.268 0.000 4.334

=====

(6)
4
Lattice="2.895 0.000 0.000 0.000 2.895 0.000 0.000 0.000 8.596" Properties=species:S:1:pos:R:3 comment="SrZn2W | Alexandria | SCAN | single point on PBEsol structure" sg=P4/mmm dos_at_fermi_per_ev_atom=0.71 de_polymorph_ev_per_atom=0.000 dft_energy_ev_per_cell=-117.1 formation_enthalpy_0k_kj_per_mol_atoms=45.80 pbc="T T T"
Sr 0.000 0.000 0.000
Zn 1.447 1.447 2.454
Zn 1.447 1.447 6.142
W 0.000 0.000 4.298

=====

(7)
4
Lattice="4.628 0.000 0.000 0.000 4.628 0.000 0.000 0.000 4.628" Properties=species:S:1:pos:R:3 comment="LuTl3 | Alexandria | SCAN | single point on PBEsol structure" sg=Pm-3m dos_at_fermi_per_ev_atom=0.51 dft_energy_ev_per_cell=-273.3 formation_enthalpy_0k_kj_per_mol_atoms=-21.91 pbc="T T T"
Lu 0.000 0.000 0.000
Tl 0.000 2.314 2.314
Tl 2.314 0.000 2.314
Tl 2.314 2.314 0.000

=====

(8)
5
Lattice="4.648 0.000 0.000 0.000 4.648 0.000 0.000 0.000 4.631" Properties=species:S:1:pos:R:3 comment="PWAuS2 | Alexandria | SCAN | single point on PBEsol structure" sg=P4/mmm dos_at_fermi_per_ev_atom=0.46 dft_energy_ev_per_cell=-160.4 pbc="T T T"
P 0.000 0.000 0.000
W 2.324 2.324 0.000
Au 0.000 0.000 2.316
S 0.000 2.324 2.316
S 2.324 0.000 2.316

=====

(9)
3
Lattice="0.000 3.313 3.313 3.313 0.000 3.313 3.313 3.313 0.000" Properties=species:S:1:pos:R:3 comment="RePbBr | Alexandria | SCAN | single point on PBEsol structure" sg=F-43m dos_at_fermi_per_ev_atom=0.95 dft_energy_ev_per_cell=-160.3 pbc="T T T"
Re 0.000 0.000 0.000
Pb 3.313 3.313 3.313
Br 4.970 4.970 4.970

=====

(10)
12
Lattice="3.598 -5.284 0.000 3.598 5.284 0.000 -3.519 0.000 3.873" Properties=species:S:1:pos:R:3 comment="TbHfO4 | Alexandria | SCAN | single point on PBEsol structure" sg=C2/c dos_at_fermi_per_ev_atom=0.32 dft_energy_ev_per_cell=-309.7 pbc="T T T"
Tb 0.959 3.942 2.904
Tb 2.719 -3.942 0.968
Hf 2.719 1.092 0.968
Hf 0.959 -1.092 2.904
O 1.185 2.397 1.180
O -0.852 0.224 3.001
O 0.907 -0.224 1.065
O 4.252 2.397 0.756
O -0.574 -2.397 3.117
O 2.770 0.224 2.808
O 4.530 -0.224 0.872
O 2.492 -2.397 2.692

=====

(11)
3
Lattice="-2.180 2.180 4.672 2.180 -2.180 4.672 2.180 2.180 -4.672" Properties=species:S:1:pos:R:3 comment="BaAgSe | Alexandria | SCAN | single point on PBEsol structure" sg=I4mm dos_at_fermi_per_ev_atom=0.51 de_polymorph_ev_per_atom=0.164 dft_energy_ev_per_cell=-93.4 pbc="T T T"
Ba 0.000 0.000 0.000
Ag 0.000 0.000 6.188
Se 0.000 0.000 3.525

=====

(12)
4
Lattice="-1.717 2.359 4.921 1.717 -2.359 4.921 1.717 2.359 -4.921" Properties=species:S:1:pos:R:3 comment="Sc3Pt | Alexandria | SCAN | single point on PBEsol structure" sg=Immm dos_at_fermi_per_ev_atom=0.99 dft_energy_ev_per_cell=-116.2 formation_enthalpy_0k_kj_per_mol_atoms=-79.39 pbc="T T T"
Sc 0.000 0.000 0.000
Sc 1.717 0.000 2.831
Sc 0.000 2.359 2.090
Pt 0.000 0.000 4.921

=====

(13)
3
Lattice="0.000 2.982 2.982 2.982 0.000 2.982 2.982 2.982 0.000" Properties=species:S:1:pos:R:3 comment="LiAgOs | Alexandria | SCAN | single point on PBEsol structure" sg=F-43m dos_at_fermi_per_ev_atom=0.21 de_polymorph_ev_per_atom=0.000 dft_energy_ev_per_cell=-101.8 formation_enthalpy_0k_kj_per_mol_atoms=122.63 pbc="T T T"
Li 0.000 0.000 0.000
Ag 1.491 1.491 1.491
Os 2.982 2.982 2.982

=====

(14)
5
Lattice="4.941 0.000 0.000 0.000 4.941 0.000 0.000 0.000 4.541" Properties=species:S:1:pos:R:3 comment="BaTi2FeP | Alexandria | SCAN | single point on PBEsol structure" sg=P4/mmm dos_at_fermi_per_ev_atom=0.96 dft_energy_ev_per_cell=-88.9 formation_enthalpy_0k_kj_per_mol_atoms=216.51 pbc="T T T"
Ba 0.000 0.000 0.000
Ti 0.000 2.471 0.000
Ti 2.471 0.000 0.000
Fe 0.000 0.000 2.271
P 2.471 2.471 2.271

=====

(15)
5
Lattice="-2.008 2.008 4.961 2.008 -2.008 4.961 2.008 2.008 -4.961" Properties=species:S:1:pos:R:3 comment="Be2InGe2 | Alexandria | SCAN | single point on PBEsol structure" sg=I4/mmm dos_at_fermi_per_ev_atom=0.24 dft_energy_ev_per_cell=-78.8 formation_enthalpy_0k_kj_per_mol_atoms=29.09 pbc="T T T"
Be 2.008 0.000 2.480
Be 0.000 2.008 2.480
In 0.000 0.000 0.000
Ge 0.000 0.000 3.720
Ge 0.000 0.000 6.201

=====

(16)
2
Lattice="0.000 2.937 2.937 2.937 0.000 2.937 2.937 2.937 0.000" Properties=species:S:1:pos:R:3 comment="CaSe | Alexandria | SCAN | single point on PBEsol structure" sg=Fm-3m dos_at_fermi_per_ev_atom=0.00 dft_energy_ev_per_cell=-34.3 pbc="T T T"
Ca 0.000 0.000 0.000
Se 2.937 2.937 2.937

=====

(17)
4
Lattice="3.128 0.000 0.000 0.000 4.908 0.000 0.000 0.000 5.349" Properties=species:S:1:pos:R:3 comment="AlHg2As | Alexandria | SCAN | single point on PBEsol structure" sg=Pmmm dos_at_fermi_per_ev_atom=0.41 de_polymorph_ev_per_atom=0.067 dft_energy_ev_per_cell=-163.2 formation_enthalpy_0k_kj_per_mol_atoms=25.13 pbc="T T T"
Al 0.000 0.000 0.000
Hg 0.000 2.454 2.674
Hg 1.564 2.454 0.000
As 1.564 0.000 2.674

=====

(18)
6
Lattice="0.000 3.729 3.729 3.729 0.000 3.729 3.729 3.729 0.000" Properties=species:S:1:pos:R:3 comment="YAgPt4 | Alexandria | SCAN | single point on PBEsol structure" sg=F-43m dos_at_fermi_per_ev_atom=0.78 dft_energy_ev_per_cell=-345.1 formation_enthalpy_0k_kj_per_mol_atoms=-81.82 pbc="T T T"
Y 0.000 0.000 0.000
Ag 5.594 5.594 5.594
Pt 2.801 2.801 2.801
Pt 4.658 4.658 2.801
Pt 4.658 2.801 4.658
Pt 2.801 4.658 4.658

=====

(19)
10
Lattice="6.725 0.000 0.000 0.000 6.725 0.000 0.000 0.000 3.232" Properties=species:S:1:pos:R:3 comment="Nb2Ni2Au | Alexandria | SCAN | single point on PBEsol structure" sg=P4/mbm dos_at_fermi_per_ev_atom=0.90 dft_energy_ev_per_cell=-337.9 formation_enthalpy_0k_kj_per_mol_atoms=-23.34 pbc="T T T"
Nb 1.163 2.200 0.000
Nb 2.200 5.562 0.000
Nb 4.525 1.163 0.000
Nb 5.562 4.525 0.000
Ni 0.844 4.207 1.616
Ni 2.518 0.844 1.616
Ni 4.207 5.881 1.616
Ni 5.881 2.518 1.616
Au 0.000 0.000 1.616
Au 3.363 3.363 1.616

=====

(20)
4
Lattice="0.000 3.572 3.572 3.572 0.000 3.572 3.572 3.572 0.000" Properties=species:S:1:pos:R:3 comment="Mg2ZrPb | Alexandria | SCAN | single point on PBEsol structure" sg=F-43m dos_at_fermi_per_ev_atom=0.90 dft_energy_ev_per_cell=-116.1 formation_enthalpy_0k_kj_per_mol_atoms=7.02 pbc="T T T"
Mg 0.000 0.000 0.000
Mg 1.786 1.786 1.786
Zr 5.358 5.358 5.358
Pb 3.572 3.572 3.572

=====

(21)
4
Lattice="3.700 0.000 0.000 0.000 3.700 0.000 0.000 0.000 3.700" Properties=species:S:1:pos:R:3 comment="Cu3W | Alexandria | SCAN | single point on PBEsol structure" sg=Pm-3m dos_at_fermi_per_ev_atom=1.20 dft_energy_ev_per_cell=-112.9 formation_enthalpy_0k_kj_per_mol_atoms=58.05 pbc="T T T"
Cu 0.000 0.000 1.850
Cu 0.000 1.850 0.000
Cu 1.850 0.000 0.000
W 1.850 1.850 1.850

=====

(22)
4
Lattice="3.824 0.000 0.000 0.000 3.824 0.000 0.000 0.000 3.981" Properties=species:S:1:pos:R:3 comment="TaCrPt2 | Alexandria | SCAN | single point on PBEsol structure" sg=P4/mmm dos_at_fermi_per_ev_atom=0.56 de_polymorph_ev_per_atom=0.000 dft_energy_ev_per_cell=-228.1 formation_enthalpy_0k_kj_per_mol_atoms=-66.48 pbc="T T T"
Ta 0.000 0.000 0.000
Cr 1.912 1.912 0.000
Pt 0.000 1.912 1.990
Pt 1.912 0.000 1.990

=====

(23)
8
Lattice="7.066 0.000 0.000 -3.533 6.120 0.000 0.000 0.000 5.488" Properties=species:S:1:pos:R:3 comment="YEr3 | Alexandria | SCAN | single point on PBEsol structure" sg=P6_3/mmc dos_at_fermi_per_ev_atom=1.62 dft_energy_ev_per_cell=-357.7 formation_enthalpy_0k_kj_per_mol_atoms=0.92 pbc="T T T"
Y 0.000 4.080 1.372
Y 3.533 2.040 4.116
Er 0.000 2.030 4.116
Er -1.775 5.105 4.116
Er 1.758 1.015 1.372
Er 1.775 5.105 4.116
Er 5.308 1.015 1.372
Er 3.533 4.090 1.372

=====

(24)
4
Lattice="0.000 2.620 2.620 2.620 0.000 2.620 2.620 2.620 0.000" Properties=species:S:1:pos:R:3 comment="IrC2F | Alexandria | SCAN | single point on PBEsol structure" sg=Fm-3m dos_at_fermi_per_ev_atom=0.59 dft_energy_ev_per_cell=-86.5 pbc="T T T"
Ir 0.000 0.000 0.000
C 1.310 1.310 1.310
C 3.930 3.930 3.930
F 2.620 2.620 2.620

=====

(25)
6
Lattice="0.000 4.365 4.365 4.365 0.000 4.365 4.365 4.365 0.000" Properties=species:S:1:pos:R:3 comment="TlSiSb4 | Alexandria | SCAN | single point on PBEsol structure" sg=F-43m dos_at_fermi_per_ev_atom=0.54 dft_energy_ev_per_cell=-228.1 pbc="T T T"
Tl 0.000 0.000 0.000
Si 2.183 2.183 2.183
Sb 5.451 3.280 3.280
Sb 3.280 5.451 3.280
Sb 3.280 3.280 5.451
Sb 5.451 5.451 5.451

=====

(26)
8
Lattice="6.557 0.000 0.000 -3.278 5.678 0.000 0.000 0.000 4.972" Properties=species:S:1:pos:R:3 comment="TlCd3 | Alexandria | SCAN | single point on PBEsol structure" sg=P6_3/mmc dos_at_fermi_per_ev_atom=0.33 dft_energy_ev_per_cell=-326.5 formation_enthalpy_0k_kj_per_mol_atoms=8.20 pbc="T T T"
Tl 0.000 3.786 1.243
Tl 3.278 1.893 3.729
Cd 0.000 1.828 3.729
Cd -1.695 4.764 3.729
Cd 1.583 0.914 1.243
Cd 1.695 4.764 3.729
Cd 4.973 0.914 1.243
Cd 3.278 3.850 1.243

=====

no.,M_tot (μB per cell)
1,0.0
2,6.9
3,0.0
4,3.4
5,0.0
6,0.0
7,0.0
8,2.1
9,2.7
10,2.0
11,0.0
12,0.0
13,2.2
14,3.5
15,0.0
16,0.0
17,0.0
18,0.0
19,0.0
20,0.0
21,1.4
22,1.6
23,0.0
24,0.0
25,0.0
26,0.0